Record 1
A relaxed structure of Zr2Ta2Mn, computed with PBE-GGA.

The space group is P4/mbm (No. 127) and the conventional cell measures 6.385, 6.385 and 4.834 Å, with angles of 90.00, 90.00 and 90.00 degrees. The inequivalent atoms are Zr at (0.161, 0.339, 0.000), Ta at (0.157, 0.657, 0.500) and Mn at (0.000, 0.000, 0.500).

As for the total energy: -9.79 eV per atom. As for the mass density: 10.097 g/cm³. The value obtained for the volume is 19.71 Å³/atom. The value obtained for the formation energy is 209 meV/atom.

***

Record 2
A relaxed structure of Nd6Sm3YTm2, computed with PBE-GGA.

The space group is C2/m (No. 12) and the conventional cell measures 6.300, 10.913 and 11.936 Å, with angles of 90.00, 100.11 and 90.00 degrees. The inequivalent atoms are Nd at (0.248, 0.000, 0.247), Nd at (0.250, 0.167, 0.753), Sm at (0.000, 0.000, 0.500), Sm at (0.000, 0.333, 0.500), Y at (0.000, 0.500, 0.000) and Tm at (0.000, 0.167, 0.000).

As for the total energy: -4.83 eV per atom. As for the mass density: 7.166 g/cm³. The value obtained for the volume is 33.66 Å³/atom. The value obtained for the formation energy is 14 meV/atom.

***

Record 3
A relaxed structure of Ce3DyTh2As6, computed with PBE-GGA.

The space group is C2/m (No. 12) and the conventional cell measures 7.305, 12.651 and 7.321 Å, with angles of 90.00, 109.43 and 90.00 degrees. The inequivalent atoms are Ce at (0.000, 0.000, 0.000), Ce at (0.000, 0.333, 0.000), Dy at (0.000, 0.500, 0.500), Th at (0.000, 0.166, 0.500), As at (0.246, 0.500, 0.250) and As at (0.247, 0.335, 0.749).

As for the total energy: -6.88 eV per atom. As for the mass density: 7.789 g/cm³. The value obtained for the volume is 26.59 Å³/atom. The value obtained for the formation energy is -1447 meV/atom.

***

Per-record total magnetization, μB per formula unit: 0.00, 0.00, 2.37